# 1
# MnNbReTc PBE relaxed
data_MnNbReTc
_chemical_formula_sum 'Mn4 Nb4 Re4 Tc4'
_space_group_name_H-M_alt 'F -4 3 m'
_space_group_IT_number 216
_space_group_name_Hall 'F -4 2 3'
_cell_length_a 6.2323
_cell_length_b 6.2323
_cell_length_c 6.2323
_cell_angle_alpha 90.00
_cell_angle_beta 90.00
_cell_angle_gamma 90.00
loop_
_atom_site_label
_atom_site_fract_x
_atom_site_fract_y
_atom_site_fract_z
Mn1 0.0000 0.0000 0.0000
Nb1 0.0000 0.0000 0.5000
Re1 0.2500 0.2500 0.2500
Tc1 0.2500 0.2500 0.7500
# Spin magnetization = 9.76 Bohr magnetons per cell
# E = -0.7730 Ry/atom
# Calculated formation energy = 0.00 eV per atom
# Crystal system = cubic
# Density of states at the Fermi level = 17.98 states/eV/cell



# 2
# CsLi2I3 PBE relaxed
data_CsLi2I3
_chemical_formula_sum 'Cs1 Li2 I3'
_space_group_name_H-M_alt 'P -4 m 2'
_space_group_IT_number 115
_space_group_name_Hall 'P -4 -2'
_cell_length_a 4.6155
_cell_length_b 4.6155
_cell_length_c 11.0003
_cell_angle_alpha 90.00
_cell_angle_beta 90.00
_cell_angle_gamma 90.00
loop_
_atom_site_label
_atom_site_fract_x
_atom_site_fract_y
_atom_site_fract_z
Cs1 0.0000 0.0000 0.0000
Li1 0.0000 0.5000 0.6428
I1 0.0000 0.0000 0.5000
I2 0.5000 0.5000 0.2076
# Polymorph energy (0 for the lowest one) = 0.0136 eV/atom
# Spin magnetization = 0.00 Bohr magnetons per cell
# E = -0.2107 Ry/atom
# Crystal system = tetragonal
# Density of states at the Fermi level = 0.00 states/eV/cell



# 3
# K2GeAs PBE relaxed
data_K2GeAs
_chemical_formula_sum 'K8 Ge4 As4'
_space_group_name_H-M_alt 'F m -3 m'
_space_group_IT_number 225
_space_group_name_Hall '-F 4 2 3'
_cell_length_a 7.8569
_cell_length_b 7.8569
_cell_length_c 7.8569
_cell_angle_alpha 90.00
_cell_angle_beta 90.00
_cell_angle_gamma 90.00
loop_
_atom_site_label
_atom_site_fract_x
_atom_site_fract_y
_atom_site_fract_z
K1 0.2500 0.2500 0.2500
Ge1 0.0000 0.0000 0.0000
As1 0.0000 0.0000 0.5000
# Polymorph energy (0 for the lowest one) = 0.3468 eV/atom
# Spin magnetization = 3.68 Bohr magnetons per cell
# E = -0.1959 Ry/atom
# Calculated formation energy = 0.20 eV per atom
# Crystal system = cubic
# Density of states at the Fermi level = 9.48 states/eV/cell



# 4
# PmPuAs2 PBE relaxed
data_PmPuAs2
_chemical_formula_sum 'Pm4 Pu4 As8'
_space_group_name_H-M_alt 'F m -3 m'
_space_group_IT_number 225
_space_group_name_Hall '-F 4 2 3'
_cell_length_a 7.2098
_cell_length_b 7.2098
_cell_length_c 7.2098
_cell_angle_alpha 90.00
_cell_angle_beta 90.00
_cell_angle_gamma 90.00
loop_
_atom_site_label
_atom_site_fract_x
_atom_site_fract_y
_atom_site_fract_z
Pm1 0.0000 0.0000 0.0000
Pu1 0.0000 0.0000 0.5000
As1 0.2500 0.2500 0.2500
# Polymorph energy (0 for the lowest one) = 0.3440 eV/atom
# Spin magnetization = 20.80 Bohr magnetons per cell
# E = -0.5896 Ry/atom
# Calculated formation energy = -0.93 eV per atom
# Crystal system = cubic
# Density of states at the Fermi level = 45.06 states/eV/cell



For reference, density by record: 11.9 3.7 3.1 9.6 g/cm3.
For reference, V by record: 242.1 234.3 485.0 374.8 Å³/cell.